1.
## Tm2Mg2Cu (PBE-GGA)

Data for an optimized crystal structure of Tm2Mg2Cu.

Cell: 10.2975 10.2975 10.2975 Å, 160.92 160.92 27.12°
Closest atoms and distances in Å follow each position.
Element x y z (fractional)
1 Tm 0.0838 0.0838 0.0000  4 Cu 2.94
2 Tm 0.9162 0.9162 0.0000  4 Cu 2.94
3 Mg 0.2993 0.2993 0.0000  8 Mg 3.12-3.41, 4 Tm 3.36
4 Mg 0.7007 0.7007 0.0000  8 Mg 3.12-3.41, 4 Tm 3.36
5 Cu 0.5000 0.5000 0.0000  8 Tm 2.94

Computed properties:
Formation energy from the elements ... -143.2 meV/atom
Space-group type ... I4/mmm, No. 139

=====

2.
## Pa2MnZn2Si4 (PBE-GGA)

Data for an optimized crystal structure of Pa2MnZn2Si4.

Cell: 5.9687 5.9687 5.9687 Å, 120.23 120.23 89.60°
Closest atoms and distances in Å follow each position.
Element x y z (fractional)
1 Pa 0.2500 0.7500 0.5000  8 Si 2.99, 4 Zn 2.99
2 Pa 0.7500 0.2500 0.5000  8 Si 2.99, 4 Zn 2.99
3 Mn 0.0000 0.0000 0.0000  4 Si 2.33, 2 Zn 2.46
4 Zn 0.2900 0.2900 0.0000  1 Mn 2.46, 4 Si 2.59
5 Zn 0.7100 0.7100 0.0000  1 Mn 2.46, 4 Si 2.59
6 Si 0.2768 0.2768 0.5537  1 Mn 2.33, 2 Zn 2.59
7 Si 0.2768 0.7232 0.0000  1 Mn 2.33, 2 Zn 2.59
8 Si 0.7232 0.2768 0.0000  1 Mn 2.33, 2 Zn 2.59
9 Si 0.7232 0.7232 0.4463  1 Mn 2.33, 2 Zn 2.59

Computed properties:
Formation energy without anion corrections ... -0.35 eV per atom
Space-group type ... I4/mmm, No. 139

=====

| no. | size of the total moment (μB/cell) |
| --- | --- |
| 1 | 0.0 |
| 2 | 0.0 |